Entry 1:
Entry from Alexandria: an optimized crystal structure of Ac8Ir3PdI3 (PBE).

a = 8.846 Å, b = 8.838 Å, c = 9.939 Å
α = 116.36°, β = 90.00°, γ = 120.03°
Fractional positions:
I1 0.500 0.500 0.000
Ac1 0.766 0.533 0.314
Ac2 0.271 0.542 0.314
Ac3 0.234 0.467 0.686
Ir1 0.000 0.500 0.500
Ac4 0.234 0.953 0.687
I2 0.000 0.000 0.000
Ac5 0.719 0.953 0.687
Ac6 0.729 0.458 0.686
Ac7 0.281 0.047 0.313
I3 0.000 0.500 0.000
Ir2 0.500 0.500 0.500
Pd1 0.000 0.000 0.500
Ir3 0.500 0.000 0.500
Ac8 0.766 0.047 0.313

* density: 8.3 Mg/m³
* N(E_F): 7.13 states/eV/f.u.
* raw formation energy: -0.936 eV per atom



Entry 2:
Entry from Alexandria: an optimized crystal structure of Ac4IrPdI2 (PBE).

a = 4.434 Å, b = 7.706 Å, c = 9.038 Å
α = 106.61°, β = 90.00°, γ = 90.00°
Fractional positions:
Ac1 0.500 0.237 0.186
I1 0.000 0.500 0.500
Ac2 0.000 0.280 0.815
Ir1 0.500 0.500 0.000
I2 0.500 0.000 0.500
Pd1 0.000 0.000 0.000
Ac3 0.500 0.763 0.814
Ac4 0.000 0.720 0.185

* density: 8.2 Mg/m³
* N(E_F): 4.13 states/eV/f.u.
* raw formation energy: -1.037 eV per atom



Entry 3:
Entry from Alexandria: an optimized crystal structure of AcPmIrI (PBE).

a = 4.297 Å, b = 4.297 Å, c = 8.748 Å
α = 90.01°, β = 104.22°, γ = 120.00°
Fractional positions:
Ir1 0.312 0.554 0.882
I1 0.955 0.375 0.345
Pm1 0.093 0.945 0.053
Ac1 0.518 0.157 0.690

* density: 8.6 Mg/m³
* N(E_F): 0.53 states/eV/f.u.
* raw formation energy: -1.003 eV per atom



Entry 4:
Entry from Alexandria: an optimized crystal structure of Ac2PmIr2I2 (PBE).

a = 5.321 Å, b = 5.321 Å, c = 9.471 Å
α = 106.32°, β = 106.32°, γ = 90.00°
Fractional positions:
I1 0.808 0.808 0.617
Ir1 0.500 0.000 0.000
Ac1 0.605 0.605 0.210
Ac2 0.395 0.395 0.790
Pm1 0.000 0.000 0.000
I2 0.192 0.192 0.383
Ir2 0.000 0.500 0.000

* density: 8.3 Mg/m³
* N(E_F): 4.03 states/eV/f.u.
* raw formation energy: -0.735 eV per atom



Entry 5:
Entry from Alexandria: an optimized crystal structure of Ac8IrPt3I3 (PBE).

a = 8.940 Å, b = 8.931 Å, c = 10.032 Å
α = 116.47°, β = 90.00°, γ = 120.03°
Fractional positions:
I1 0.000 0.500 0.000
Ac1 0.266 0.042 0.316
Pt1 0.500 0.000 0.500
Ac2 0.776 0.042 0.316
Ir1 0.000 0.000 0.500
Ac3 0.734 0.958 0.684
Ac4 0.272 0.543 0.314
Pt2 0.500 0.500 0.500
Ac5 0.728 0.457 0.686
I2 0.000 0.000 0.000
I3 0.500 0.500 0.000
Pt3 0.000 0.500 0.500
Ac6 0.224 0.958 0.684
Ac7 0.225 0.449 0.684
Ac8 0.775 0.551 0.316

* density: 8.3 Mg/m³
* N(E_F): 10.90 states/eV/f.u.
* raw formation energy: -1.077 eV per atom



Entry 6:
Entry from Alexandria: an optimized crystal structure of Ac8Ir3PtI4 (PBE).

a = 8.840 Å, b = 10.019 Å, c = 8.837 Å
α = 116.11°, β = 120.01°, γ = 90.00°
Fractional positions:
Ir1 0.500 0.500 0.000
Ac1 0.231 0.683 0.462
Ac2 0.769 0.317 0.538
Ac3 0.728 0.684 0.456
Ir2 0.000 0.500 0.500
I1 0.500 0.000 0.000
Ac4 0.278 0.316 0.047
Ir3 0.500 0.500 0.500
I2 0.000 0.000 0.000
Pt1 0.000 0.500 0.000
Ac5 0.272 0.316 0.544
Ac6 0.769 0.316 0.047
I3 0.500 0.000 0.500
I4 0.000 0.000 0.500
Ac7 0.231 0.684 0.953
Ac8 0.722 0.684 0.953

* density: 8.8 Mg/m³
* N(E_F): 5.41 states/eV/f.u.
* raw formation energy: -1.116 eV per atom



Entry 7:
Entry from Alexandria: an optimized crystal structure of Ac6IrPt2I3 (PBE).

a = 7.714 Å, b = 7.714 Å, c = 9.006 Å
α = 98.21°, β = 98.21°, γ = 120.01°
Fractional positions:
Ac1 0.735 0.735 0.185
Pt1 0.333 0.667 0.000
I1 0.500 0.500 0.500
Ac2 0.062 0.388 0.185
Ac3 0.388 0.062 0.185
Ac4 0.265 0.265 0.815
Ac5 0.612 0.938 0.815
I2 0.833 0.167 0.500
Ir1 0.000 0.000 0.000
Pt2 0.667 0.333 0.000
Ac6 0.938 0.612 0.815
I3 0.167 0.833 0.500

* density: 8.7 Mg/m³
* N(E_F): 7.28 states/eV/f.u.
* raw formation energy: -1.183 eV per atom



Entry 8:
Entry from Alexandria: an optimized crystal structure of Ac6Ir3Pt2I (PBE).

a = 4.356 Å, b = 9.090 Å, c = 9.971 Å
α = 104.52°, β = 102.62°, γ = 90.00°
Fractional positions:
Ac1 0.682 0.083 0.363
Ir1 0.500 0.500 0.000
Ac2 0.997 0.285 0.994
Ac3 0.318 0.917 0.637
Ac4 0.333 0.412 0.666
Pt1 0.835 0.670 0.670
Pt2 0.165 0.330 0.330
Ir2 0.838 0.170 0.676
I1 0.500 0.000 0.000
Ac5 0.667 0.588 0.334
Ir3 0.162 0.830 0.324
Ac6 0.003 0.715 0.006

* density: 11.0 Mg/m³
* N(E_F): 3.83 states/eV/f.u.
* raw formation energy: -0.865 eV per atom